(1)
The following is a DFT calculation (GGA-PBE) of crystalline PaCdInBr6 at its relaxed geometry.

Calculated values
total energy: -3.639 eV/atom
spin magnetization: 0.05 μB/f.u.
symmetry: P-31c, No. 163

Geometry as POSCAR:
```
PaCdInBr6
1.0
8.109 0.000 0.000
-4.054 7.023 0.000
0.000 0.000 14.484
Pa Cd In Br
2 2 2 12
direct
0.333 0.667 0.250
0.667 0.333 0.750
0.000 0.000 0.000
0.000 0.000 0.500
0.333 0.667 0.750
0.667 0.333 0.250
0.051 0.398 0.141
0.051 0.653 0.359
0.347 0.398 0.359
0.347 0.949 0.141
0.398 0.051 0.641
0.398 0.347 0.859
0.602 0.653 0.141
0.602 0.949 0.359
0.653 0.051 0.859
0.653 0.602 0.641
0.949 0.347 0.641
0.949 0.602 0.859
```

(2)
The following is a DFT calculation (GGA-PBE) of crystalline YScAgBi at its relaxed geometry.

Calculated values
total energy: -5.259 eV/atom
formation energy: -0.38 eV per atom
spin magnetization: 1.00 μB/f.u.
symmetry: F-43m, No. 216

Geometry as POSCAR:
```
YScAgBi
1.0
7.338 0.000 0.000
0.000 7.338 0.000
0.000 0.000 7.338
Y Sc Ag Bi
4 4 4 4
direct
0.000 0.000 0.000
0.000 0.500 0.500
0.500 0.000 0.500
0.500 0.500 0.000
0.000 0.000 0.500
0.000 0.500 0.000
0.500 0.000 0.000
0.500 0.500 0.500
0.250 0.250 0.750
0.250 0.750 0.250
0.750 0.250 0.250
0.750 0.750 0.750
0.250 0.250 0.250
0.250 0.750 0.750
0.750 0.250 0.750
0.750 0.750 0.250
```

(3)
The following is a DFT calculation (GGA-PBE) of crystalline La3YTh2 at its relaxed geometry.

Calculated values
polymorph energy (0 for the lowest one): 211 kJ/mol of formula units
total energy: -5.609 eV/atom
formation energy: 0.41 eV per atom
spin magnetization: 0.00 μB/f.u.
symmetry: R-3m, No. 166

Geometry as POSCAR:
```
La3YTh2
1.0
5.940 3.430 3.391
-5.940 3.430 3.391
0.000 -6.859 3.391
La Y Th
6 2 4
direct
0.169 0.665 0.665
0.335 0.335 0.831
0.335 0.831 0.335
0.665 0.169 0.665
0.665 0.665 0.169
0.831 0.335 0.335
0.164 0.164 0.164
0.836 0.836 0.836
0.000 0.000 0.500
0.000 0.500 0.000
0.500 0.000 0.000
0.500 0.500 0.500
```

(4)
The following is a DFT calculation (GGA-PBE) of crystalline Dy4AgSb2 at its relaxed geometry.

Calculated values
total energy: -4.743 eV/atom
spin magnetization: 0.00 μB/f.u.
symmetry: C2/m, No. 12

Geometry as POSCAR:
```
Dy4AgSb2
1.0
15.414 0.000 0.000
0.000 4.217 0.000
-3.481 0.000 6.563
Dy Ag Sb
8 2 4
direct
0.116 0.000 0.260
0.117 0.500 0.819
0.383 0.000 0.181
0.384 0.500 0.740
0.616 0.500 0.260
0.617 0.000 0.819
0.883 0.500 0.181
0.884 0.000 0.740
0.000 0.000 0.500
0.500 0.500 0.500
0.239 0.000 0.730
0.261 0.500 0.270
0.739 0.500 0.730
0.761 0.000 0.270
```

(5)
The following is a DFT calculation (GGA-PBE) of crystalline Pr2Dy3HoS6 at its relaxed geometry.

Calculated values
total energy: -6.388 eV/atom
spin magnetization: 0.00 μB/f.u.
symmetry: C2/m, No. 12

Geometry as POSCAR:
```
Pr2Dy3HoS6
1.0
8.655 -1.973 0.000
8.655 1.973 0.000
-1.897 0.000 7.776
Pr Dy Ho S
2 3 1 6
direct
0.168 0.168 0.336
0.832 0.832 0.664
0.169 0.169 0.833
0.500 0.500 0.500
0.831 0.831 0.167
0.500 0.500 0.000
0.005 0.005 0.754
0.335 0.335 0.930
0.338 0.338 0.406
0.662 0.662 0.594
0.665 0.665 0.070
0.995 0.995 0.246
```

(6)
The following is a DFT calculation (GGA-PBE) of crystalline La3PmNi8 at its relaxed geometry.

Calculated values
total energy: -5.806 eV/atom
formation energy: -0.32 eV per atom
spin magnetization: 0.00 μB/f.u.
symmetry: R3m, No. 160

Geometry as POSCAR:
```
La3PmNi8
1.0
2.597 1.499 8.490
-2.597 1.499 8.490
0.000 -2.999 8.490
La Pm Ni
3 1 8
direct
0.000 0.000 0.000
0.125 0.125 0.125
0.625 0.625 0.625
0.500 0.500 0.500
0.062 0.062 0.561
0.062 0.561 0.062
0.065 0.563 0.563
0.313 0.313 0.313
0.561 0.062 0.062
0.563 0.065 0.563
0.563 0.563 0.065
0.813 0.813 0.813
```